Record 1
The following is a GGA-PBE calculation of Sm2Zn5PdRh2 after structural relaxation, from Alexandria via LeMat-Bulk.

Cell lengths 3.801, 9.731, 9.731 Å; angles 90.00, 90.00, 90.00 degrees
Atoms (fractional coordinates):
Pd: 0.000 0.500 0.500
Zn: 0.500 0.446 0.307
Sm: 0.000 0.679 0.179
Zn: 0.500 0.307 0.554
Sm: 0.000 0.321 0.821
Zn: 0.500 0.946 0.193
Zn: 0.500 0.054 0.807
Zn: 0.500 0.807 0.946
Rh: 0.000 0.623 0.877
Zn: 0.500 0.500 0.000
Pd: 0.000 0.000 0.000
Zn: 0.500 0.193 0.054
Zn: 0.500 0.693 0.446
Sm: 0.000 0.821 0.679
Zn: 0.500 0.554 0.693
Rh: 0.000 0.877 0.377
Zn: 0.500 0.000 0.500
Rh: 0.000 0.123 0.623
Sm: 0.000 0.179 0.321
Rh: 0.000 0.377 0.123

Properties
Its calculated density is 8.7 g/cm³. Its formation energy is -0.465 eV/atom. The value obtained for the density of states at the Fermi level is 5.6 states/eV/f.u. For the final energy, the calculation gives -4.0358 eV/atom.



Record 2
The following is a GGA-PBE calculation of MnCr2Rh after structural relaxation, from Alexandria via LeMat-Bulk.

Cell lengths 2.960, 2.960, 5.937 Å; angles 90.00, 90.00, 90.00 degrees
Each line ends with the local moment (μB).
Atoms (fractional coordinates):
Cr: 0.500 0.500 0.246  -1.59
Mn: 0.000 0.000 0.484  3.12
Cr: 0.000 0.000 0.020  1.91
Rh: 0.500 0.500 0.750  0.46

Properties
Its calculated density is 8.4 g/cm³. Its formation energy is -0.004 eV/atom. The value obtained for the density of states at the Fermi level is 3.0 states/eV/f.u. For the final energy, the calculation gives -8.9458 eV/atom.



Record 3
The following is a GGA-PBE calculation of Li2AcMoN4 after structural relaxation, from Alexandria via LeMat-Bulk.

Cell lengths 5.301, 5.360, 7.927 Å; angles 90.00, 90.00, 90.00 degrees
Each line ends with the local moment (μB).
Atoms (fractional coordinates):
N: 0.361 0.651 0.694  0.22
N: 0.957 0.855 0.000  0.14
N: 0.361 0.651 0.306  0.22
N: 0.457 0.145 0.500  0.14
Mo: 0.002 0.201 0.000  -0.08
Li: 0.990 0.712 0.754  0.01
N: 0.861 0.349 0.194  0.22
Li: 0.990 0.712 0.246  0.01
Ac: 0.487 0.722 0.000  0.03
Li: 0.490 0.288 0.746  0.01
Mo: 0.502 0.799 0.500  -0.08
Ac: 0.987 0.278 0.500  0.03
N: 0.861 0.349 0.806  0.22
Li: 0.490 0.288 0.254  0.01
N: 0.353 0.231 0.000  0.14
N: 0.853 0.769 0.500  0.14

Properties
Its calculated density is 5.8 g/cm³. The value obtained for the density of states at the Fermi level is 5.0 states/eV/f.u. For the final energy, the calculation gives -7.1517 eV/atom. The value obtained for the energy relative to the elements, uncorrected is -0.64 eV per atom.



Record 4
The following is a GGA-PBE calculation of Ac2TbCe after structural relaxation, from Alexandria via LeMat-Bulk.

Cell lengths 6.009, 6.009, 6.009 Å; angles 60.00, 60.00, 60.00 degrees
Each line ends with the local moment (μB).
Atoms (fractional coordinates):
Ac: 0.250 0.250 0.250  0.17
Ac: 0.750 0.750 0.750  0.17
Ce: 0.500 0.500 0.500  1.13
Tb: 0.000 0.000 0.000  0.29

Properties
Its calculated density is 8.1 g/cm³. Its formation energy is 0.217 eV/atom. The value obtained for the density of states at the Fermi level is 12.1 states/eV/f.u. For the final energy, the calculation gives -4.4781 eV/atom.



Record 5
The following is a GGA-PBE calculation of DyHo2Hf after structural relaxation, from Alexandria via LeMat-Bulk.

Cell lengths 3.971, 3.971, 7.253 Å; angles 90.00, 90.00, 90.00 degrees
Atoms (fractional coordinates):
Ho: 0.000 0.000 0.777
Hf: 0.500 0.500 0.000
Dy: 0.500 0.500 0.500
Ho: 0.000 0.000 0.223

Properties
Its calculated density is 9.7 g/cm³. Its formation energy is 0.219 eV/atom. The value obtained for the density of states at the Fermi level is 7.6 states/eV/f.u. For the final energy, the calculation gives -5.7087 eV/atom.



Record 6
The following is a GGA-PBE calculation of ReOsSCl2 after structural relaxation, from Alexandria via LeMat-Bulk.

Cell lengths 4.904, 4.904, 4.498 Å; angles 90.00, 90.00, 90.00 degrees
Each line ends with the local moment (μB).
Atoms (fractional coordinates):
S: 0.000 0.000 0.500  0.04
Cl: 0.000 0.500 0.000  0.08
Os: 0.500 0.500 0.500  3.35
Re: 0.000 0.000 0.000  0.39
Cl: 0.500 0.000 0.000  0.08

Properties
Its calculated density is 7.4 g/cm³. The value obtained for the density of states at the Fermi level is 6.5 states/eV/f.u. For the final energy, the calculation gives -4.8836 eV/atom. The value obtained for the energy relative to the elements, uncorrected is 1.42 eV per atom.